Here is crystalline Ac3Ga3Pt2 at its relaxed geometry from Alexandria via LeMat-Bulk. Energies are from PBE.

a = 6.2872 Å, b = 6.2872 Å, c = 16.5360 Å
α = 90.00°, β = 90.00°, γ = 139.11°
Closest atoms and distances in Å follow each position.
Sites, in units of the cell vectors:
Ac 0.0794 0.9206 0.7500  4 Pt 3.19, 5 Ga 3.23-3.38
Ac 0.3503 0.6497 0.5921  4 Pt 3.25-3.57, 7 Ga 3.34-3.48
Ac 0.3503 0.6497 0.9079  4 Pt 3.25-3.57, 7 Ga 3.34-3.48
Ac 0.6497 0.3503 0.0921  4 Pt 3.25-3.57, 7 Ga 3.34-3.48
Ac 0.6497 0.3503 0.4079  4 Pt 3.25-3.57, 7 Ga 3.34-3.48
Ac 0.9206 0.0794 0.2500  4 Pt 3.19, 5 Ga 3.23-3.38
Ga 0.0720 0.9280 0.5549  1 Ga 2.48, 2 Pt 2.61
Ga 0.0720 0.9280 0.9451  1 Ga 2.48, 2 Pt 2.61
Ga 0.2079 0.7921 0.2500  2 Pt 2.73
Ga 0.7921 0.2079 0.7500  2 Pt 2.73
Ga 0.9280 0.0720 0.0549  1 Ga 2.48, 2 Pt 2.61
Ga 0.9280 0.0720 0.4451  1 Ga 2.48, 2 Pt 2.61
Pt 0.3490 0.6510 0.1194  3 Ga 2.61-2.73
Pt 0.3490 0.6510 0.3806  3 Ga 2.61-2.73
Pt 0.6510 0.3490 0.6194  3 Ga 2.61-2.73
Pt 0.6510 0.3490 0.8806  3 Ga 2.61-2.73

Calculated values
Polymorph energy (0 for the lowest one) in kJ/mol of formula units: 0
Calculated volume in Å³ per atom: 26.75

Here is crystalline Ac3Ga5Pt6 at its relaxed geometry from Alexandria via LeMat-Bulk. Energies are from PBE.

a = 4.3496 Å, b = 13.1984 Å, c = 10.4273 Å
α = 90.00°, β = 90.00°, γ = 90.00°
Closest atoms and distances in Å follow each position.
Sites, in units of the cell vectors:
Ac 0.2500 0.0902 0.2474  7 Pt 3.21-3.54, 6 Ga 3.32-3.39
Ac 0.2500 0.4098 0.2474  7 Pt 3.21-3.54, 6 Ga 3.32-3.39
Ac 0.2500 0.7500 0.2458  6 Ga 3.16-3.36, 6 Pt 3.27-3.39
Ac 0.7500 0.2500 0.7542  6 Ga 3.16-3.36, 6 Pt 3.27-3.39
Ac 0.7500 0.5902 0.7526  7 Pt 3.21-3.54, 6 Ga 3.32-3.39
Ac 0.7500 0.9098 0.7526  7 Pt 3.21-3.54, 6 Ga 3.32-3.39
Ga 0.2500 0.0781 0.6394  5 Pt 2.55-2.60
Ga 0.2500 0.4219 0.6394  5 Pt 2.55-2.60
Ga 0.2500 0.6223 0.9892  5 Pt 2.56-2.75
Ga 0.2500 0.7500 0.6058  4 Pt 2.54-2.58
Ga 0.2500 0.8777 0.9892  5 Pt 2.56-2.75
Ga 0.7500 0.1223 0.0108  5 Pt 2.56-2.75
Ga 0.7500 0.2500 0.3942  4 Pt 2.54-2.58
Ga 0.7500 0.3777 0.0108  5 Pt 2.56-2.75
Ga 0.7500 0.5781 0.3606  5 Pt 2.55-2.60
Ga 0.7500 0.9219 0.3606  5 Pt 2.55-2.60
Pt 0.2500 0.0538 0.8860  4 Ga 2.56-2.69, 1 Pt 2.85
Pt 0.2500 0.2500 0.9999  4 Ga 2.75, 2 Pt 2.85
Pt 0.2500 0.2500 0.5196  4 Ga 2.54-2.59
Pt 0.2500 0.4462 0.8860  4 Ga 2.56-2.69, 1 Pt 2.85
Pt 0.2500 0.5782 0.4881  4 Ga 2.55-2.60
Pt 0.2500 0.9218 0.4881  4 Ga 2.55-2.60
Pt 0.7500 0.0782 0.5119  4 Ga 2.55-2.60
Pt 0.7500 0.4218 0.5119  4 Ga 2.55-2.60
Pt 0.7500 0.5538 0.1140  4 Ga 2.56-2.69, 1 Pt 2.85
Pt 0.7500 0.7500 0.0001  4 Ga 2.75, 2 Pt 2.85
Pt 0.7500 0.7500 0.4804  4 Ga 2.54-2.59
Pt 0.7500 0.9462 0.1140  4 Ga 2.56-2.69, 1 Pt 2.85

Calculated values
Calculated total energy in hartree per atom: -0.201
Calculated volume in Å³ per atom: 21.38

Here is crystalline Ac8Ga2Pt at its relaxed geometry from Alexandria via LeMat-Bulk. Energies are from PBE.

a = 10.3909 Å, b = 10.3909 Å, c = 7.4733 Å
α = 100.04°, β = 100.04°, γ = 30.04°
Closest atoms and distances in Å follow each position.
Sites, in units of the cell vectors:
Ac 0.0224 0.0224 0.2779  2 Pt 3.24, 1 Ga 3.38, 1 Ac 3.59
Ac 0.2118 0.2118 0.8196  3 Ga 3.33-3.45
Ac 0.3471 0.3471 0.5216  1 Pt 3.10, 3 Ga 3.34-3.45
Ac 0.4078 0.4078 0.0446  1 Pt 3.57, 8 Ac 3.76-3.99, 2 Ga 3.78
Ac 0.5922 0.5922 0.9554  1 Pt 3.57, 8 Ac 3.76-3.99, 2 Ga 3.78
Ac 0.6529 0.6529 0.4784  1 Pt 3.10, 3 Ga 3.34-3.45
Ac 0.7882 0.7882 0.1804  3 Ga 3.33-3.45
Ac 0.9776 0.9776 0.7221  2 Pt 3.24, 1 Ga 3.38, 1 Ac 3.59
Ga 0.1886 0.1886 0.2495  7 Ac 3.33-3.45
Ga 0.8114 0.8114 0.7505  7 Ac 3.33-3.45
Pt 0.5000 0.5000 0.5000  6 Ac 3.10-3.24

Calculated values
Calculated total energy in hartree per atom: -0.162
Calculated volume in Å³ per atom: 36.12

Here is crystalline AcGaPt3 at its relaxed geometry from Alexandria via LeMat-Bulk. Energies are from PBE.

a = 5.9418 Å, b = 7.7218 Å, c = 4.8441 Å
α = 90.00°, β = 90.00°, γ = 90.00°
Closest atoms and distances in Å follow each position.
Sites, in units of the cell vectors:
Ac 0.0000 0.0000 0.0000  2 Pt 2.97
Ac 0.5000 0.5000 0.0000  2 Pt 2.97
Ga 0.0000 0.5000 0.5000  6 Pt 2.42-2.44
Ga 0.5000 0.0000 0.5000  6 Pt 2.42-2.44
Pt 0.0000 0.5000 0.0000  2 Ga 2.42
Pt 0.2492 0.2496 0.5000  2 Ga 2.44
Pt 0.2508 0.7496 0.5000  2 Ga 2.44
Pt 0.5000 0.0000 0.0000  2 Ga 2.42
Pt 0.7492 0.2504 0.5000  2 Ga 2.44
Pt 0.7508 0.7504 0.5000  2 Ga 2.44

Calculated values
Polymorph energy (0 for the lowest one) in kJ/mol of formula units: 134
Calculated volume in Å³ per atom: 22.22

Here is crystalline AcGa3Pt at its relaxed geometry from Alexandria via LeMat-Bulk. Energies are from PBE.

a = 6.2094 Å, b = 6.2094 Å, c = 6.3112 Å
α = 90.00°, β = 90.00°, γ = 118.91°
Closest atoms and distances in Å follow each position.
Sites, in units of the cell vectors:
Ac 0.2475 0.7525 0.7500  12 Ga 3.36-3.51, 4 Pt 3.43-3.45
Ac 0.7525 0.2475 0.2500  12 Ga 3.36-3.51, 4 Pt 3.43-3.45
Ga 0.2487 0.2487 0.0000  2 Pt 2.58, 2 Ga 2.69
Ga 0.2487 0.2487 0.5000  2 Pt 2.58, 2 Ga 2.69
Ga 0.3595 0.6405 0.2500  1 Pt 2.53, 4 Ga 2.69
Ga 0.6405 0.3595 0.7500  1 Pt 2.53, 4 Ga 2.69
Ga 0.7513 0.7513 0.0000  2 Pt 2.58, 2 Ga 2.69
Ga 0.7513 0.7513 0.5000  2 Pt 2.58, 2 Ga 2.69
Pt 0.1228 0.8772 0.2500  5 Ga 2.53-2.58
Pt 0.8772 0.1228 0.7500  5 Ga 2.53-2.58

Calculated values
Polymorph energy (0 for the lowest one) in kJ/mol of formula units: 0
Calculated volume in Å³ per atom: 21.30

Here is crystalline AcGa9Pt2 at its relaxed geometry from Alexandria via LeMat-Bulk. Energies are from PBE.

a = 8.4842 Å, b = 8.4842 Å, c = 8.4842 Å
α = 102.64°, β = 102.64°, γ = 124.23°
Closest atoms and distances in Å follow each position.
Sites, in units of the cell vectors:
Ac 0.3750 0.6250 0.7500  16 Ga 3.43-3.48
Ac 0.6250 0.3750 0.2500  16 Ga 3.43-3.48
Ga 0.1250 0.8750 0.2500  4 Pt 2.83, 8 Ga 2.95
Ga 0.1317 0.5577 0.3318  4 Ga 2.57-2.86, 1 Pt 2.61
Ga 0.1317 0.8000 0.5741  4 Ga 2.57-2.86, 1 Pt 2.61
Ga 0.2000 0.2741 0.3318  4 Ga 2.57-2.86, 1 Pt 2.61
Ga 0.2000 0.8683 0.9259  4 Ga 2.57-2.86, 1 Pt 2.61
Ga 0.2741 0.2000 0.8318  4 Ga 2.57-2.86, 1 Pt 2.61
Ga 0.2741 0.4423 0.0741  4 Ga 2.57-2.86, 1 Pt 2.61
Ga 0.4423 0.2741 0.5741  4 Ga 2.57-2.86, 1 Pt 2.61
Ga 0.4423 0.8683 0.1682  4 Ga 2.57-2.86, 1 Pt 2.61
Ga 0.5577 0.1317 0.8318  4 Ga 2.57-2.86, 1 Pt 2.61
Ga 0.5577 0.7259 0.4259  4 Ga 2.57-2.86, 1 Pt 2.61
Ga 0.7259 0.5577 0.9259  4 Ga 2.57-2.86, 1 Pt 2.61
Ga 0.7259 0.8000 0.1682  4 Ga 2.57-2.86, 1 Pt 2.61
Ga 0.8000 0.1317 0.0741  4 Ga 2.57-2.86, 1 Pt 2.61
Ga 0.8000 0.7259 0.6682  4 Ga 2.57-2.86, 1 Pt 2.61
Ga 0.8683 0.2000 0.4259  4 Ga 2.57-2.86, 1 Pt 2.61
Ga 0.8683 0.4423 0.6682  4 Ga 2.57-2.86, 1 Pt 2.61
Ga 0.8750 0.1250 0.7500  4 Pt 2.83, 8 Ga 2.95
Pt 0.0000 0.0000 0.0000  10 Ga 2.61-2.90
Pt 0.0000 0.0000 0.5000  10 Ga 2.61-2.90
Pt 0.0000 0.5000 0.0000  10 Ga 2.61-2.90
Pt 0.5000 0.0000 0.5000  10 Ga 2.61-2.90

Calculated values
Calculated total energy in hartree per atom: -0.149
Calculated volume in Å³ per atom: 18.60

Here is crystalline Ac3Ga4Pt4 at its relaxed geometry from Alexandria via LeMat-Bulk. Energies are from PBE.

a = 4.2817 Å, b = 4.4684 Å, c = 13.6425 Å
α = 80.71°, β = 81.12°, γ = 90.00°
Closest atoms and distances in Å follow each position.
Sites, in units of the cell vectors:
Ac 0.0000 0.0000 0.0000  8 Pt 3.39-3.41, 4 Ga 3.40-3.42
Ac 0.1494 0.6478 0.7037  6 Pt 3.31-3.35, 8 Ga 3.35-3.54
Ac 0.8506 0.3522 0.2963  6 Pt 3.31-3.35, 8 Ga 3.35-3.54
Ga 0.2503 0.2518 0.4982  4 Pt 2.58-2.64
Ga 0.3985 0.9011 0.1995  3 Pt 2.56-2.57
Ga 0.6015 0.0989 0.8005  3 Pt 2.56-2.57
Ga 0.7497 0.7482 0.5018  4 Pt 2.58-2.64
Pt 0.3040 0.8041 0.3926  5 Ga 2.57-2.64
Pt 0.4459 0.4472 0.1058  2 Ga 2.56, 1 Pt 2.81
Pt 0.5541 0.5528 0.8942  2 Ga 2.56, 1 Pt 2.81
Pt 0.6960 0.1959 0.6074  5 Ga 2.57-2.64

Calculated values
Polymorph energy (0 for the lowest one) in kJ/mol of formula units: 0
Calculated volume in Å³ per atom: 23.13

Here is crystalline Ac3Ga2Pt4 at its relaxed geometry from Alexandria via LeMat-Bulk. Energies are from PBE.

a = 6.2079 Å, b = 6.2079 Å, c = 9.0709 Å
α = 110.96°, β = 110.96°, γ = 42.17°
Closest atoms and distances in Å follow each position.
Sites, in units of the cell vectors:
Ac 0.0000 0.0000 0.0000  6 Pt 3.18-3.48
Ac 0.3651 0.3651 0.3051  7 Pt 3.11-3.34, 4 Ga 3.30-3.41
Ac 0.6349 0.6349 0.6949  7 Pt 3.11-3.34, 4 Ga 3.30-3.41
Ga 0.3345 0.3345 0.6649  4 Pt 2.56-2.82
Ga 0.6655 0.6655 0.3351  4 Pt 2.56-2.82
Pt 0.0969 0.0969 0.4133  3 Ga 2.56-2.82
Pt 0.2902 0.2902 0.9245  1 Ga 2.60
Pt 0.7098 0.7098 0.0755  1 Ga 2.60
Pt 0.9031 0.9031 0.5867  3 Ga 2.56-2.82

Calculated values
Calculated total energy in hartree per atom: -0.212
Calculated volume in Å³ per atom: 24.09